1.
# DyYPa PBE-GGA relaxed
# spin magnetization	0.000	μB per atom
# VASP energy	-6.689	eV/atom
data_DyYPa
_cell_length_a 5.152
_cell_length_b 3.342
_cell_length_c 10.466
_cell_angle_alpha 80.81
_cell_angle_beta 90.00
_cell_angle_gamma 90.00
_symmetry_space_group_name_H-M 'P 1'
_symmetry_Int_Tables_number 1
loop_
_symmetry_equiv_pos_as_xyz
'x,y,z'
loop_
_atom_site_label
_atom_site_type_symbol
_atom_site_fract_x
_atom_site_fract_y
_atom_site_fract_z
Pa1 Pa 0.250 0.468 0.064
Pa2 Pa 0.750 0.532 0.936
Y1 Y 0.750 0.882 0.235
Dy1 Dy 0.750 0.708 0.584
Dy2 Dy 0.250 0.292 0.416
Y2 Y 0.250 0.118 0.765

2.
# DyPaZn2 PBE-GGA relaxed
# spin magnetization	0.143	μB per atom
# VASP energy	-4.274	eV/atom
data_DyPaZn2
_cell_length_a 3.208
_cell_length_b 3.208
_cell_length_c 8.376
_cell_angle_alpha 90.00
_cell_angle_beta 90.00
_cell_angle_gamma 90.00
_symmetry_space_group_name_H-M 'P 1'
_symmetry_Int_Tables_number 1
loop_
_symmetry_equiv_pos_as_xyz
'x,y,z'
loop_
_atom_site_label
_atom_site_type_symbol
_atom_site_fract_x
_atom_site_fract_y
_atom_site_fract_z
Dy1 Dy 0.500 0.500 0.500
Zn1 Zn 0.000 0.000 0.253
Pa1 Pa 0.500 0.500 0.000
Zn2 Zn 0.000 0.000 0.747

3.
# DyPaZn2 PBE-GGA relaxed
# spin magnetization	0.184	μB per atom
# VASP energy	-4.225	eV/atom
data_DyPaZn2
_cell_length_a 3.224
_cell_length_b 5.238
_cell_length_c 5.238
_cell_angle_alpha 90.00
_cell_angle_beta 90.00
_cell_angle_gamma 90.00
_symmetry_space_group_name_H-M 'P 1'
_symmetry_Int_Tables_number 1
loop_
_symmetry_equiv_pos_as_xyz
'x,y,z'
loop_
_atom_site_label
_atom_site_type_symbol
_atom_site_fract_x
_atom_site_fract_y
_atom_site_fract_z
Dy1 Dy 0.500 0.500 0.500
Zn1 Zn 0.000 0.500 0.000
Pa1 Pa 0.500 0.000 0.000
Zn2 Zn 0.000 0.000 0.500

4.
# DyPaZn2 PBE-GGA relaxed
# spin magnetization	0.000	μB per atom
# VASP energy	-4.123	eV/atom
data_DyPaZn2
_cell_length_a 3.311
_cell_length_b 3.311
_cell_length_c 9.815
_cell_angle_alpha 80.29
_cell_angle_beta 80.29
_cell_angle_gamma 60.00
_symmetry_space_group_name_H-M 'P 1'
_symmetry_Int_Tables_number 1
loop_
_symmetry_equiv_pos_as_xyz
'x,y,z'
loop_
_atom_site_label
_atom_site_type_symbol
_atom_site_fract_x
_atom_site_fract_y
_atom_site_fract_z
Zn1 Zn 0.751 0.751 0.746
Pa1 Pa 0.000 0.000 0.000
Zn2 Zn 0.249 0.249 0.254
Dy1 Dy 0.500 0.500 0.500